# 1
DFT (PBE-GGA) results for an optimized crystal structure of La2ZnAs4.

Values from the calculation:
Formation energy from the elements: -0.9320 eV/atom
Electronic total energy: -5.18 eV per atom

a b c (Å): 4.038 4.038 10.380
angles (deg): 90.00 90.00 90.00
Element x y z (fractional)
1 La 0.500 0.000 0.741
2 La 0.000 0.500 0.259
3 Zn 0.500 0.500 0.000
4 As 0.500 0.000 0.147
5 As 0.000 0.500 0.853
6 As 0.500 0.500 0.500
7 As 0.000 0.000 0.500



# 2
DFT (PBE-GGA) results for an optimized crystal structure of LaZn2As.

Values from the calculation:
Formation energy from the elements: -0.4148 eV/atom
Electronic total energy: -3.45 eV per atom

a b c (Å): 4.329 4.329 10.719
angles (deg): 78.35 78.35 90.00
Element x y z (fractional)
1 As 0.500 0.500 0.000
2 As 0.250 0.750 0.500
3 Zn 0.530 0.125 0.250
4 Zn 0.220 0.625 0.250
5 Zn 0.375 0.470 0.750
6 Zn 0.875 0.780 0.750
7 La 0.000 0.000 0.000
8 La 0.750 0.250 0.500



# 3
DFT (PBE-GGA) results for an optimized crystal structure of LaZn3As3.

Values from the calculation:
Formation energy from the elements: -0.5845 eV/atom
Electronic total energy: -3.83 eV per atom

a b c (Å): 4.141 11.606 12.691
angles (deg): 90.00 90.00 90.00
Element x y z (fractional)
1 La 0.750 0.942 0.336
2 La 0.250 0.442 0.164
3 La 0.750 0.558 0.836
4 La 0.250 0.058 0.664
5 Zn 0.750 0.233 0.450
6 Zn 0.250 0.733 0.050
7 Zn 0.750 0.267 0.950
8 Zn 0.250 0.767 0.550
9 Zn 0.750 0.652 0.277
10 Zn 0.250 0.152 0.223
11 Zn 0.750 0.848 0.777
12 Zn 0.250 0.348 0.723
13 Zn 0.750 0.037 0.067
14 Zn 0.250 0.537 0.433
15 Zn 0.750 0.463 0.567
16 Zn 0.250 0.963 0.933
17 As 0.750 0.432 0.360
18 As 0.250 0.932 0.140
19 As 0.750 0.068 0.860
20 As 0.250 0.568 0.640
21 As 0.750 0.239 0.148
22 As 0.250 0.739 0.352
23 As 0.750 0.261 0.648
24 As 0.250 0.761 0.852
25 As 0.750 0.615 0.083
26 As 0.250 0.115 0.417
27 As 0.750 0.885 0.583
28 As 0.250 0.385 0.917



# 4
DFT (PBE-GGA) results for an optimized crystal structure of LaZn2As.

Values from the calculation:
Formation energy from the elements: -0.3742 eV/atom
Electronic total energy: -3.41 eV per atom

a b c (Å): 3.696 3.696 6.621
angles (deg): 90.00 90.00 99.31
Element x y z (fractional)
1 As 0.000 0.000 0.466
2 La 0.500 0.500 0.733
3 Zn 0.000 0.000 0.065
4 Zn 0.500 0.500 0.235



# 5
DFT (PBE-GGA) results for an optimized crystal structure of La4ZnAs.

Values from the calculation:
Formation energy from the elements: 0.2045 eV/atom
Electronic total energy: -4.07 eV per atom

a b c (Å): 6.356 6.356 6.356
angles (deg): 60.00 60.00 60.00
Element x y z (fractional)
1 La 0.879 0.374 0.374
2 La 0.374 0.374 0.879
3 La 0.374 0.879 0.374
4 La 0.374 0.374 0.374
5 Zn 0.750 0.750 0.750
6 As 0.000 0.000 0.000



# 6
DFT (PBE-GGA) results for an optimized crystal structure of LaZr2As2.

Values from the calculation:
Formation energy from the elements: -0.9956 eV/atom
Electronic total energy: -7.26 eV per atom

a b c (Å): 4.212 4.212 7.225
angles (deg): 73.05 73.05 90.00
Element x y z (fractional)
1 As 0.389 0.389 0.223
2 As 0.611 0.611 0.777
3 Zr 0.750 0.250 0.500
4 Zr 0.250 0.750 0.500
5 La 0.000 0.000 0.000